Entry from the Alexandria database: crystalline NaCa2TePt at its relaxed geometry (GGA-PBE).

Geometry as CIF:
```
data_NaCa2TePt
_symmetry_space_group_name_H-M 'P 4/m m m'
_symmetry_Int_Tables_number 123
_symmetry_space_group_name_Hall '-P 4 2'
_cell_length_a 5.4825
_cell_length_b 5.4825
_cell_length_c 5.2878
_cell_angle_alpha 90.00
_cell_angle_beta 90.00
_cell_angle_gamma 90.00
loop_
_atom_site_label
_atom_site_fract_x
_atom_site_fract_y
_atom_site_fract_z
Na1 0.0000 0.0000 0.0000
Ca1 0.0000 0.5000 0.5000
Te1 0.5000 0.5000 0.0000
Pt1 0.0000 0.0000 0.5000
```

The value obtained for the calculated volume is 159 Å³ per cell. Its uncorrected formation energy is -0.661 eV per atom.

Entry from the Alexandria database: crystalline CdMo4Se at its relaxed geometry (GGA-PBE).

Geometry as CIF:
```
data_CdMo4Se
_symmetry_space_group_name_H-M 'F -4 3 m'
_symmetry_Int_Tables_number 216
_symmetry_space_group_name_Hall 'F -4 2 3'
_cell_length_a 7.5501
_cell_length_b 7.5501
_cell_length_c 7.5501
_cell_angle_alpha 90.00
_cell_angle_beta 90.00
_cell_angle_gamma 90.00
loop_
_atom_site_label
_atom_site_fract_x
_atom_site_fract_y
_atom_site_fract_z
Cd1 0.0000 0.0000 0.0000
Mo1 0.1257 0.1257 0.6257
Se1 0.2500 0.2500 0.2500
```

The value obtained for the calculated volume is 430 Å³ per cell. Its uncorrected formation energy is 0.607 eV per atom.

Entry from the Alexandria database: crystalline ErMgCo2 at its relaxed geometry (GGA-PBE).

Geometry as CIF:
```
data_ErMgCo2
_symmetry_space_group_name_H-M 'P 4/m m m'
_symmetry_Int_Tables_number 123
_symmetry_space_group_name_Hall '-P 4 2'
_cell_length_a 4.4166
_cell_length_b 4.4166
_cell_length_c 3.2438
_cell_angle_alpha 90.00
_cell_angle_beta 90.00
_cell_angle_gamma 90.00
loop_
_atom_site_label
_atom_site_fract_x
_atom_site_fract_y
_atom_site_fract_z
Er1 0.0000 0.0000 0.0000
Mg1 0.5000 0.5000 0.0000
Co1 0.0000 0.5000 0.5000
```

The value obtained for the calculated volume is 63 Å³ per cell. The formation energy comes out at 0.013 eV/atom.

| no. | M_tot (μB/f.u.) | electronic total energy (eV per cell) |
| --- | --- | --- |
| 1 | 0.00 | -17.81 |
| 2 | 0.00 | -176.32 |
| 3 | 0.00 | -20.32 |